First-principles (PBEsol) data for ZnAgAu2 after structural relaxation, as listed in the Alexandria database.

Cell lengths 4.0484, 4.0484, 3.9105 Å; angles 90.00, 90.00, 90.00 degrees
With the nearest neighbours (Å) after each atom.
Space group P4/mmm (No. 123)
Inequivalent atoms, fractional coordinates:
Zn1 0.0000 0.0000 0.0000 x1  8 Au 2.81, 4 Ag 2.86
Ag1 0.5000 0.5000 0.0000 x1  8 Au 2.81, 4 Zn 2.86
Au1 0.0000 0.5000 0.5000 x2  4 Ag 2.81, 4 Zn 2.81, 4 Au 2.86

Computed properties:
Density of states at the Fermi level = 1.245 states/eV/f.u.
ΔE_f = -136 meV per atom
Crystal system = tetragonal